# 1
A relaxed Zr3ReRh crystal, computed with PBE-GGA.

Its formation energy is 0.740 eV per atom. The density of states at the Fermi level is 10.00 states/eV/cell. Its energy above the lowest structure with this stoichiometry is 0.0000 eV per atom.

It has space group Pm-3m (No. 221), with a = 5.006 Å, b = 5.006 Å, c = 5.006 Å, α = 90.00°, β = 90.00° and γ = 90.00°. The distinct sites, in fractional coordinates, are Zr at (0.000, 0.000, 0.500), Re at (0.000, 0.000, 0.000) and Rh at (0.500, 0.500, 0.500).

=====

# 2
A relaxed Zr2ReRh crystal, computed with PBE-GGA.

Its formation energy is -0.070 eV per atom. The density of states at the Fermi level is 3.73 states/eV/cell.

It has space group P4mm (No. 99), with a = 2.857 Å, b = 2.857 Å, c = 8.980 Å, α = 90.00°, β = 90.00° and γ = 90.00°. The distinct sites, in fractional coordinates, are Zr at (0.000, 0.000, 0.000), Zr at (0.500, 0.500, 0.307), Re at (0.000, 0.000, 0.563) and Rh at (0.500, 0.500, 0.754).

=====

# 3
A relaxed Zr2ReRh crystal, computed with PBE-GGA.

Its formation energy is -0.110 eV per atom. The density of states at the Fermi level is 3.00 states/eV/cell.

It has space group P4mm (No. 99), with a = 3.663 Å, b = 3.663 Å, c = 5.691 Å, α = 90.00°, β = 90.00° and γ = 90.00°. The distinct sites, in fractional coordinates, are Zr at (0.000, 0.000, 0.000), Zr at (0.500, 0.500, 0.340), Re at (0.000, 0.000, 0.495) and Rh at (0.500, 0.500, 0.837).

=====

# 4
A relaxed Zr4ReRh crystal, computed with PBE-GGA.

Its formation energy is 0.609 eV per atom. The density of states at the Fermi level is 55.72 states/eV/cell. Its energy above the lowest structure with this stoichiometry is 0.9544 eV per atom.

It has space group F-43m (No. 216), with a = 7.818 Å, b = 7.818 Å, c = 7.818 Å, α = 90.00°, β = 90.00° and γ = 90.00°. The distinct sites, in fractional coordinates, are Zr at (0.125, 0.125, 0.125), Re at (0.250, 0.250, 0.750) and Rh at (0.000, 0.000, 0.500).

=====

# 5
A relaxed Zr2ReRh crystal, computed with PBE-GGA.

Its formation energy is -0.113 eV per atom. The density of states at the Fermi level is 7.37 states/eV/cell.

It has space group C2/m (No. 12), with a = 8.641 Å, b = 3.167 Å, c = 5.559 Å, α = 90.00°, β = 102.30° and γ = 90.00°. The distinct sites, in fractional coordinates, are Zr at (0.250, 0.000, 0.246), Re at (0.000, 0.500, 0.000) and Rh at (0.000, 0.000, 0.500).

=====

# 6
A relaxed ZrReRh crystal, computed with PBE-GGA.

Its formation energy is -0.208 eV per atom. The density of states at the Fermi level is 5.91 states/eV/cell. Its energy above the lowest structure with this stoichiometry is 0.0000 eV per atom.

It has space group I4mm (No. 107), with a = 2.859 Å, b = 2.859 Å, c = 12.350 Å, α = 90.00°, β = 90.00° and γ = 90.00°. The distinct sites, in fractional coordinates, are Zr at (0.000, 0.000, 0.000), Re at (0.000, 0.000, 0.318) and Rh at (0.000, 0.000, 0.681).